No. 1
## MnSeBr2F (meta-GGA SCAN)

Data for a crystal of MnSeBr2F relaxed with PBEsol.

Properties
E_form (uncorrected) (eV per atom): -0.054

Cell lengths 5.340, 5.340, 3.885 Å; angles 90.00, 90.00, 90.00 degrees
Space group P4/mmm (No. 123)
Symmetry-distinct sites (fractional):
Mn (0.000, 0.000, 0.000) (multiplicity 1)
Se (0.500, 0.500, 0.000) (multiplicity 1)
Br (0.000, 0.500, 0.500) (multiplicity 2)
F (0.500, 0.500, 0.500) (multiplicity 1)



No. 2
## FeTc3As (meta-GGA SCAN)

Data for a crystal of FeTc3As relaxed with PBEsol.

Properties
DFT formation energy (eV/atom): 1.366

Cell lengths 4.340, 4.340, 4.340 Å; angles 90.00, 90.00, 90.00 degrees
Space group Pm-3m (No. 221)
Symmetry-distinct sites (fractional):
Fe (0.000, 0.000, 0.000) (multiplicity 1)
Tc (0.000, 0.000, 0.500) (multiplicity 3)
As (0.500, 0.500, 0.500) (multiplicity 1)



No. 3
## Li2AgHg2 (meta-GGA SCAN)

Data for a crystal of Li2AgHg2 relaxed with PBEsol.

Properties
DFT formation energy (eV/atom): -0.286

Cell lengths 7.500, 7.500, 3.153 Å; angles 90.00, 90.00, 90.00 degrees
Space group P4/mbm (No. 127)
Symmetry-distinct sites (fractional):
Li (0.161, 0.339, 0.000) (multiplicity 4)
Ag (0.000, 0.000, 0.500) (multiplicity 2)
Hg (0.139, 0.639, 0.500) (multiplicity 4)



No. 4
## Mg2ZrCd (meta-GGA SCAN)

Data for a crystal of Mg2ZrCd relaxed with PBEsol.

Properties
DFT formation energy (eV/atom): -0.085

Cell lengths 3.004, 4.694, 6.196 Å; angles 90.00, 103.78, 90.00 degrees
Space group Pm (No. 6)
Symmetry-distinct sites (fractional):
Mg (0.000, 0.000, 0.000) (multiplicity 1)
Mg (0.381, 0.500, 0.771) (multiplicity 1)
Zr (0.645, 0.500, 0.283) (multiplicity 1)
Cd (0.255, 0.000, 0.501) (multiplicity 1)